This record from Alexandria via LeMat-Bulk describes a geometry-optimized CaPaIn2Te4 structure. The functional is PBE.

abc: 7.736 4.451 8.537
angles: 90.00 107.31 90.00
Space group P2/m (No. 10)
One atom of each set of equivalent atoms:
Ca (0.000, 0.000, 0.000) x1
Pa (0.500, 0.500, 0.000) x1
In (0.000, 0.500, 0.500) x1
In (0.500, 0.000, 0.500) x1
Te (0.254, 0.500, 0.221) x2
Te (0.270, 0.000, 0.778) x2

Values from the calculation:
Magnetic moment, μB per formula unit: 1.005
Formation energy (no corrections), eV/atom: -0.77
Fermi-level density of states, states/eV/cell: 5.2

This record from Alexandria via LeMat-Bulk describes a geometry-optimized Tb5Si3 structure. The functional is PBE.

abc: 7.560 7.560 13.631
angles: 90.00 90.00 90.00
Space group I4/mcm (No. 140)
One atom of each set of equivalent atoms:
Tb (0.000, 0.000, 0.000) x4
Tb (0.173, 0.327, 0.145) x16
Si (0.000, 0.000, 0.250) x4
Si (0.122, 0.378, 0.500) x8

Values from the calculation:
Magnetic moment, μB per formula unit: 0.002
Formation energy (no corrections), eV/atom: -0.64
Fermi-level density of states, states/eV/cell: 33.1